A geometry-optimized ZrTlCl2 structure. Source: Alexandria, functional PBE.

The structure in POSCAR format:
```
ZrTlCl2
1.0
-1.636 1.656 10.213
1.636 -1.656 10.213
1.636 1.656 -10.213
Zr Tl Cl
1 1 2
Cartesian
0.000 0.000 0.000
0.000 1.656 5.250
1.636 0.000 1.916
0.000 0.000 8.707
```

calculated density = 5.5 Mg/m³
uncorrected energy = -4.494 eV/atom
energy above the most stable polymorph in this dataset = 0.236 eV/atom
raw formation energy = -842 meV/atom